(1)
Density functional theory data (PBE) for a geometry-optimized La2Nd5Cd3 structure.

Computed properties:
The crystal system is orthorhombic. The electronic total energy is -72.66 eV per cell.

Unit cell a=7.029 b=10.519 c=10.519 alpha=84.36 beta=70.48 gamma=70.48
Element x y z (fractional)
La  0.155  0.557  0.134
La  0.655  0.134  0.557
La  0.845  0.443  0.866
La  0.345  0.866  0.443
Nd  0.431  0.240  0.897
Nd  0.931  0.897  0.240
Nd  0.569  0.760  0.103
Nd  0.069  0.103  0.760
Nd  0.478  0.772  0.772
Nd  0.522  0.228  0.228
Nd  0.750  0.500  0.500
Nd  0.250  0.500  0.500
Nd  0.022  0.228  0.228
Nd  0.978  0.772  0.772
Cd  0.362  0.510  0.766
Cd  0.862  0.766  0.510
Cd  0.638  0.490  0.234
Cd  0.138  0.234  0.490
Cd  0.250  0.000  0.000
Cd  0.750  0.000  0.000


(2)
Density functional theory data (PBE) for a geometry-optimized SrSiBr structure.

Computed properties:
The crystal system is cubic. As for the uncorrected formation energy: -0.201 eV per atom.

Unit cell a=5.398 b=5.398 c=5.398 alpha=60.00 beta=60.00 gamma=60.00
Element x y z (fractional)
Br  0.000  0.000  0.000
Si  0.500  0.500  0.500
Sr  0.750  0.750  0.750


(3)
Density functional theory data (PBE) for a geometry-optimized NaHI2 structure.

Computed properties:
The crystal system is cubic. The electronic total energy is -7.31 eV per cell.

Unit cell a=5.475 b=5.475 c=5.475 alpha=60.00 beta=60.00 gamma=60.00
Element x y z (fractional)
I  0.250  0.250  0.250
I  0.750  0.750  0.750
Na  0.500  0.500  0.500
H  0.000  0.000  0.000


(4)
Density functional theory data (PBE) for a geometry-optimized BaNbCd2Sn structure.

Computed properties:
The crystal system is tetragonal. The electronic total energy is -9.96 eV per cell.

Unit cell a=6.003 b=5.562 c=6.003 alpha=90.00 beta=90.00 gamma=90.00
Element x y z (fractional)
Nb  0.000  0.500  0.000
Cd  0.000  0.000  0.500
Cd  0.500  0.000  0.000
Ba  0.000  0.000  0.000
Sn  0.500  0.500  0.500


What is the formula in the second record? SrSiBr